No. 1
HgS5 after structural relaxation. Source: Alexandria via LeMat-Bulk, functional PBE-GGA.

Unit cell a=4.240 b=4.240 c=11.313 alpha=80.22 beta=80.57 gamma=61.38
Fractional coordinates of all 6 atoms:
Hg: 0.000 0.000 0.000
S: 0.046 0.061 0.269
S: 0.353 0.354 0.961
S: 0.657 0.670 0.683
S: 0.816 0.831 0.390
S: 0.884 0.898 0.563

Calculated values
Energy   -3.312 eV/atom
Formation energy (no corrections)   0.18 eV per atom

***

No. 2
Zr3SbTe after structural relaxation. Source: Alexandria via LeMat-Bulk, functional PBE-GGA.

Unit cell a=3.995 b=8.682 c=8.682 alpha=59.87 beta=90.00 gamma=90.00
Fractional coordinates of all 10 atoms:
Zr: 0.000 0.000 0.000
Zr: 0.000 0.259 0.259
Zr: 0.500 0.318 0.727
Zr: 0.500 0.531 0.939
Zr: 0.500 0.727 0.318
Zr: 0.500 0.939 0.531
Sb: 0.000 0.629 0.629
Sb: 0.500 0.129 0.129
Te: 0.000 0.128 0.629
Te: 0.000 0.629 0.128

Calculated values
Energy   -6.869 eV/atom
E above lowest polymorph   0 kJ/mol of formula units
Formation energy (no corrections)   -0.29 eV per atom

***

No. 3
Ac2InSb3Ir4 after structural relaxation. Source: Alexandria via LeMat-Bulk, functional PBE-GGA.

Unit cell a=4.574 b=4.574 c=10.942 alpha=90.00 beta=90.00 gamma=90.00
Fractional coordinates of all 10 atoms:
Ac: 0.000 0.500 0.250
Ac: 0.500 0.000 0.750
In: 0.000 0.000 0.500
Sb: 0.000 0.500 0.871
Sb: 0.500 0.000 0.129
Sb: 0.500 0.500 0.500
Ir: 0.000 0.000 0.000
Ir: 0.000 0.500 0.633
Ir: 0.500 0.000 0.367
Ir: 0.500 0.500 0.000

Calculated values
Energy   -6.472 eV/atom
Formation energy (no corrections)   -0.60 eV per atom

***

No. 4
CsTlReI2 after structural relaxation. Source: Alexandria via LeMat-Bulk, functional PBE-GGA.

Unit cell a=7.162 b=7.162 c=6.773 alpha=90.00 beta=90.00 gamma=90.00
Fractional coordinates of all 5 atoms:
Cs: 0.000 0.000 0.000
Tl: 0.500 0.500 0.500
Re: 0.000 0.000 0.500
I: 0.000 0.500 0.000
I: 0.500 0.000 0.000

Calculated values
Energy   -2.703 eV/atom
E above lowest polymorph   54 kJ/mol of formula units
Formation energy (no corrections)   1.05 eV per atom

***

No. 5
CaTcTe2I after structural relaxation. Source: Alexandria via LeMat-Bulk, functional PBE-GGA.

Unit cell a=5.260 b=5.260 c=5.692 alpha=90.00 beta=90.00 gamma=90.00
Fractional coordinates of all 5 atoms:
Ca: 0.000 0.000 0.000
Tc: 0.500 0.500 0.500
Te: 0.000 0.500 0.500
Te: 0.500 0.000 0.500
I: 0.500 0.500 0.000

Calculated values
Energy   -4.135 eV/atom
E above lowest polymorph   0 kJ/mol of formula units
Formation energy (no corrections)   -0.09 eV per atom

***

No. 6
Sm5ErTl2 after structural relaxation. Source: Alexandria via LeMat-Bulk, functional PBE-GGA.

Unit cell a=5.498 b=5.498 c=20.311 alpha=90.00 beta=90.00 gamma=120.00
Fractional coordinates of all 16 atoms:
Sm: 0.000 0.000 0.163
Sm: 0.000 0.000 0.337
Sm: 0.000 0.000 0.663
Sm: 0.000 0.000 0.837
Sm: 0.333 0.667 0.061
Sm: 0.333 0.667 0.250
Sm: 0.333 0.667 0.439
Sm: 0.667 0.333 0.561
Sm: 0.667 0.333 0.750
Sm: 0.667 0.333 0.939
Er: 0.333 0.667 0.750
Er: 0.667 0.333 0.250
Tl: 0.333 0.667 0.597
Tl: 0.333 0.667 0.903
Tl: 0.667 0.333 0.097
Tl: 0.667 0.333 0.403

Calculated values
Energy   -4.174 eV/atom
E above lowest polymorph   28 kJ/mol of formula units
Calculated formation energy   -0.0631 eV/atom

***

No. 7
TaCoNiRh after structural relaxation. Source: Alexandria via LeMat-Bulk, functional PBE-GGA.

Unit cell a=4.243 b=4.243 c=4.243 alpha=60.00 beta=60.00 gamma=60.00
Fractional coordinates of all 4 atoms:
Ta: 0.000 0.000 0.000
Co: 0.750 0.750 0.750
Ni: 0.500 0.500 0.500
Rh: 0.250 0.250 0.250

Calculated values
Energy   -8.209 eV/atom
E above lowest polymorph   82 kJ/mol of formula units
Calculated formation energy   -0.1857 eV/atom

***

No. 8
MoPbCl2 after structural relaxation. Source: Alexandria via LeMat-Bulk, functional PBE-GGA.

Unit cell a=9.981 b=9.981 c=9.981 alpha=18.62 beta=18.62 gamma=18.62
Fractional coordinates of all 4 atoms:
Mo: 0.000 0.000 0.000
Pb: 0.500 0.500 0.500
Cl: 0.079 0.079 0.079
Cl: 0.921 0.921 0.921

Calculated values
Energy   -4.539 eV/atom
E above lowest polymorph   90 kJ/mol of formula units
Formation energy (no corrections)   0.02 eV per atom

***

No. 9
Tl4HgRu after structural relaxation. Source: Alexandria via LeMat-Bulk, functional PBE-GGA.

Unit cell a=6.203 b=6.203 c=6.203 alpha=60.00 beta=60.00 gamma=60.00
Fractional coordinates of all 6 atoms:
Tl: 0.125 0.125 0.125
Tl: 0.125 0.125 0.624
Tl: 0.125 0.624 0.125
Tl: 0.624 0.125 0.125
Hg: 0.750 0.750 0.750
Ru: 0.500 0.500 0.500

Calculated values
Energy   -2.380 eV/atom
Calculated formation energy   0.7937 eV/atom

***

No. 10
TcAg2I2 after structural relaxation. Source: Alexandria via LeMat-Bulk, functional PBE-GGA.

Unit cell a=7.682 b=7.682 c=4.243 alpha=90.00 beta=90.00 gamma=90.00
Fractional coordinates of all 10 atoms:
Tc: 0.000 0.000 0.000
Tc: 0.500 0.500 0.000
Ag: 0.134 0.366 0.000
Ag: 0.366 0.866 0.000
Ag: 0.634 0.134 0.000
Ag: 0.866 0.634 0.000
I: 0.179 0.679 0.500
I: 0.321 0.179 0.500
I: 0.679 0.821 0.500
I: 0.821 0.321 0.500

Calculated values
Energy   -3.044 eV/atom
E above lowest polymorph   0 kJ/mol of formula units
Formation energy (no corrections)   0.79 eV per atom

***

No. 11
TbSi2IrRu after structural relaxation. Source: Alexandria via LeMat-Bulk, functional PBE-GGA.

Unit cell a=5.695 b=5.695 c=5.695 alpha=137.40 beta=137.40 gamma=61.83
Fractional coordinates of all 5 atoms:
Tb: 0.000 0.000 0.000
Si: 0.373 0.373 0.000
Si: 0.627 0.627 0.000
Ir: 0.250 0.750 0.500
Ru: 0.750 0.250 0.500

Calculated values
Energy   -7.754 eV/atom
Formation energy (no corrections)   -1.03 eV per atom